A geometry-optimized ZrBeSbI2 structure. Source: Alexandria via LeMat-Bulk, functional PBE.

abc: 5.0301 5.0301 5.2044
angles: 90.00 90.00 90.00
With the nearest neighbours (Å) after each atom.
Fractional positions:
I 0.0000 0.5000 0.0000  2 Be 2.52
I 0.5000 0.0000 0.0000  2 Be 2.52
Sb 0.0000 0.0000 0.5000  2 Be 2.60
Zr 0.5000 0.5000 0.5000  4 Sb 3.56, 8 I 3.62
Be 0.0000 0.0000 0.0000  4 I 2.52, 2 Sb 2.60

total magnetization: 1.12 Bohr magnetons per cell
calculated total energy: -3.384 eV/atom
space group: No. 123
raw formation energy: 0.52 eV/atom
energy above the most stable polymorph in this dataset: 0.259 eV/f.u.